Entry 1:
{
  "formula": "WSe",
  "functional": "GGA-PBE",
  "state": "optimized geometry",
  "cell": [[0.000, 2.628, 2.628], [2.628, 0.000, 2.628], [2.628, 2.628, 0.000]],
  "species": ["W", "Se"],
  "frac_coords": [[0.000, 0.000, 0.000], [0.500, 0.500, 0.500]],
  "raw_formation_energy_mev_per_atom": 1160,
  "e_tot_ev_per_cell": -14.1
}

=====

Entry 2:
{
  "formula": "W3Se",
  "functional": "GGA-PBE",
  "state": "optimized geometry",
  "cell": [[-1.885, 1.885, 4.578], [1.885, -1.885, 4.578], [1.885, 1.885, -4.578]],
  "species": ["W", "W", "W", "Se"],
  "frac_coords": [[0.000, 0.000, 0.000], [0.250, 0.750, 0.500], [0.750, 0.250, 0.500], [0.500, 0.500, 0.000]],
  "raw_formation_energy_mev_per_atom": 774,
  "e_tot_ev_per_cell": -39.2
}

=====

Entry 3:
{
  "formula": "WSe3",
  "functional": "GGA-PBE",
  "state": "optimized geometry",
  "cell": [[3.216, 0.000, 0.000], [-1.608, 2.785, 0.000], [0.000, 0.000, 10.846]],
  "species": ["W", "Se", "Se", "Se"],
  "frac_coords": [[0.000, 0.000, 0.000], [0.000, 0.000, 0.500], [0.333, 0.667, 0.159], [0.333, 0.667, 0.841]],
  "raw_formation_energy_mev_per_atom": -136,
  "e_tot_ev_per_cell": -24.0
}

=====

Entry 4:
{
  "formula": "W3Se",
  "functional": "GGA-PBE",
  "state": "optimized geometry",
  "cell": [[2.960, 0.000, 0.000], [0.000, 4.241, 0.000], [-0.020, 0.000, 5.199]],
  "species": ["W", "W", "W", "Se"],
  "frac_coords": [[0.000, 0.000, 0.000], [0.499, 0.500, 0.244], [0.501, 0.500, 0.756], [0.000, 0.000, 0.500]],
  "raw_formation_energy_mev_per_atom": 547,
  "e_tot_ev_per_cell": -40.2
}

=====

Entry 5:
{
  "formula": "WSe3",
  "functional": "GGA-PBE",
  "state": "optimized geometry",
  "cell": [[3.631, 0.000, 0.000], [0.000, 4.029, 0.000], [0.000, 0.000, 6.744]],
  "species": ["W", "Se", "Se", "Se"],
  "frac_coords": [[0.000, 0.000, 0.000], [0.000, 0.500, 0.771], [0.500, 0.000, 0.738], [0.500, 0.500, 0.191]],
  "raw_formation_energy_mev_per_atom": 380,
  "e_tot_ev_per_cell": -21.9
}

=====

Entry 6:
{
  "formula": "W3Se2",
  "functional": "GGA-PBE",
  "state": "optimized geometry",
  "cell": [[1.585, 0.915, 10.378], [-1.585, 0.915, 10.378], [0.000, -1.830, 10.378]],
  "species": ["W", "W", "W", "Se", "Se"],
  "frac_coords": [[0.000, 0.000, 0.000], [0.194, 0.194, 0.194], [0.806, 0.806, 0.806], [0.393, 0.393, 0.393], [0.607, 0.607, 0.607]],
  "raw_formation_energy_mev_per_atom": 388,
  "e_tot_ev_per_cell": -43.9
}

=====

Entry 7:
{
  "formula": "WSe3",
  "functional": "GGA-PBE",
  "state": "optimized geometry",
  "cell": [[8.592, 0.000, 0.000], [-4.296, 7.441, 0.000], [0.000, 0.000, 5.715]],
  "species": ["W", "W", "W", "W", "Se", "Se", "Se", "Se", "Se", "Se", "Se", "Se", "Se", "Se", "Se", "Se"],
  "frac_coords": [[0.000, 0.000, 0.000], [0.000, 0.000, 0.500], [0.333, 0.667, 0.250], [0.667, 0.333, 0.750], [0.000, 0.500, 0.000], [0.000, 0.500, 0.500], [0.140, 0.280, 0.750], [0.140, 0.860, 0.750], [0.280, 0.140, 0.250], [0.500, 0.000, 0.000], [0.500, 0.000, 0.500], [0.500, 0.500, 0.000], [0.500, 0.500, 0.500], [0.720, 0.860, 0.750], [0.860, 0.140, 0.250], [0.860, 0.720, 0.250]],
  "raw_formation_energy_mev_per_atom": 510,
  "e_tot_ev_per_cell": -85.5
}

=====

Entry 8:
{
  "formula": "WSe",
  "functional": "GGA-PBE",
  "state": "optimized geometry",
  "cell": [[0.000, 2.465, 4.059], [1.772, 0.000, 4.059], [1.772, 2.465, 0.000]],
  "species": ["W", "Se"],
  "frac_coords": [[0.000, 0.000, 0.000], [0.250, 0.250, 0.250]],
  "raw_formation_energy_mev_per_atom": 487,
  "e_tot_ev_per_cell": -15.5
}

=====

Entry 9:
{
  "formula": "WSe3",
  "functional": "GGA-PBE",
  "state": "optimized geometry",
  "cell": [[1.601, 0.924, 9.818], [-1.601, 0.924, 9.818], [0.000, -1.848, 9.818]],
  "species": ["W", "Se", "Se", "Se"],
  "frac_coords": [[0.000, 0.000, 0.000], [0.273, 0.273, 0.273], [0.500, 0.500, 0.500], [0.727, 0.727, 0.727]],
  "raw_formation_energy_mev_per_atom": -13,
  "e_tot_ev_per_cell": -23.5
}

=====

Entry 10:
{
  "formula": "WSe",
  "functional": "GGA-PBE",
  "state": "optimized geometry",
  "cell": [[11.422, 0.000, 0.000], [0.000, 11.422, 0.000], [0.000, 0.000, 3.424]],
  "species": ["W", "W", "W", "W", "W", "W", "W", "W", "Se", "Se", "Se", "Se", "Se", "Se", "Se", "Se"],
  "frac_coords": [[0.042, 0.610, 0.000], [0.079, 0.272, 0.500], [0.272, 0.921, 0.500], [0.390, 0.042, 0.000], [0.610, 0.958, 0.000], [0.728, 0.079, 0.500], [0.921, 0.728, 0.500], [0.958, 0.390, 0.000], [0.149, 0.731, 0.500], [0.180, 0.409, 0.000], [0.269, 0.149, 0.500], [0.409, 0.820, 0.000], [0.591, 0.180, 0.000], [0.731, 0.851, 0.500], [0.820, 0.591, 0.000], [0.851, 0.269, 0.500]],
  "raw_formation_energy_mev_per_atom": 241,
  "e_tot_ev_per_cell": -127.6
}

=====

Entry 11:
{
  "formula": "WSe",
  "functional": "GGA-PBE",
  "state": "optimized geometry",
  "cell": [[4.266, 0.000, 0.000], [-2.133, 3.695, 0.000], [0.000, 0.000, 11.903]],
  "species": ["W", "W", "W", "W", "Se", "Se", "Se", "Se"],
  "frac_coords": [[0.000, 0.000, 0.250], [0.000, 0.000, 0.750], [0.333, 0.667, 0.250], [0.667, 0.333, 0.750], [0.333, 0.667, 0.614], [0.333, 0.667, 0.886], [0.667, 0.333, 0.114], [0.667, 0.333, 0.386]],
  "raw_formation_energy_mev_per_atom": 799,
  "e_tot_ev_per_cell": -59.4
}

=====

Entry 12:
{
  "formula": "WSe",
  "functional": "GGA-PBE",
  "state": "optimized geometry",
  "cell": [[-3.901, 3.901, 3.901], [3.901, -3.901, 3.901], [3.901, 3.901, -3.901]],
  "species": ["W", "W", "W", "W", "Se", "Se", "Se", "Se"],
  "frac_coords": [[0.000, 0.000, 0.241], [0.000, 0.241, 0.000], [0.241, 0.000, 0.000], [0.759, 0.759, 0.759], [0.000, 0.000, 0.616], [0.000, 0.616, 0.000], [0.384, 0.384, 0.384], [0.616, 0.000, 0.000]],
  "raw_formation_energy_mev_per_atom": 547,
  "e_tot_ev_per_cell": -61.4
}